Crystalline MgCoI2N at its relaxed geometry, computed with PBE-GGA.

Cell and atoms, written as CIF:
```
data_MgCoI2N
_chemical_formula_sum 'Mg1 Co1 I2 N1'
_cell_length_a 5.469
_cell_length_b 5.469
_cell_length_c 3.544
_cell_angle_alpha 90.00
_cell_angle_beta 90.00
_cell_angle_gamma 90.00
_symmetry_space_group_name_H-M 'P 4/m m m'
_symmetry_Int_Tables_number 123
_symmetry_space_group_name_Hall '-P 4 2'
loop_
_atom_site_label
_atom_site_fract_x
_atom_site_fract_y
_atom_site_fract_z
Mg1 0.000 0.000 0.000
Co1 0.500 0.500 0.500
I1 0.000 0.500 0.500
N1 0.500 0.500 0.000
```

Output
Raw formation energy, eV per atom: 0.219
Excess energy over the best structure of this formula in the dataset, eV per atom: 0.000

***

Crystalline Sc2BeTl at its relaxed geometry, computed with PBE-GGA.

Cell and atoms, written as CIF:
```
data_Sc2BeTl
_chemical_formula_sum 'Sc2 Be1 Tl1'
_cell_length_a 3.346
_cell_length_b 3.346
_cell_length_c 6.971
_cell_angle_alpha 90.00
_cell_angle_beta 90.00
_cell_angle_gamma 90.00
_symmetry_space_group_name_H-M 'P 4/m m m'
_symmetry_Int_Tables_number 123
_symmetry_space_group_name_Hall '-P 4 2'
loop_
_atom_site_label
_atom_site_fract_x
_atom_site_fract_y
_atom_site_fract_z
Sc1 0.000 0.000 0.214
Be1 0.500 0.500 0.000
Tl1 0.500 0.500 0.500
```

Output
E_form, eV per atom: -0.1449
Excess energy over the best structure of this formula in the dataset, eV per atom: 0.000

***

Crystalline TlZn2Cd2 at its relaxed geometry, computed with PBE-GGA.

Cell and atoms, written as CIF:
```
data_TlZn2Cd2
_chemical_formula_sum 'Tl2 Zn4 Cd4'
_cell_length_a 4.097
_cell_length_b 4.097
_cell_length_c 13.651
_cell_angle_alpha 90.00
_cell_angle_beta 90.00
_cell_angle_gamma 90.00
_symmetry_space_group_name_H-M 'I 4/m m m'
_symmetry_Int_Tables_number 139
_symmetry_space_group_name_Hall '-I 4 2'
loop_
_atom_site_label
_atom_site_fract_x
_atom_site_fract_y
_atom_site_fract_z
Tl1 0.000 0.000 0.000
Zn1 0.000 0.500 0.250
Cd1 0.000 0.000 0.392
```

Output
E_form, eV per atom: 0.1116
Excess energy over the best structure of this formula in the dataset, eV per atom: 0.019

***

Crystalline CaZrNiHg2 at its relaxed geometry, computed with PBE-GGA.

Cell and atoms, written as CIF:
```
data_CaZrNiHg2
_chemical_formula_sum 'Ca1 Zr1 Ni1 Hg2'
_cell_length_a 5.440
_cell_length_b 5.440
_cell_length_c 5.956
_cell_angle_alpha 90.00
_cell_angle_beta 90.00
_cell_angle_gamma 90.00
_symmetry_space_group_name_H-M 'P 4/m m m'
_symmetry_Int_Tables_number 123
_symmetry_space_group_name_Hall '-P 4 2'
loop_
_atom_site_label
_atom_site_fract_x
_atom_site_fract_y
_atom_site_fract_z
Ca1 0.000 0.000 0.000
Zr1 0.000 0.000 0.500
Ni1 0.500 0.500 0.000
Hg1 0.000 0.500 0.500
```

Output
E_form, eV per atom: 1.2006

***

Crystalline NaTl7Bi4 at its relaxed geometry, computed with PBE-GGA.

Cell and atoms, written as CIF:
```
data_NaTl7Bi4
_chemical_formula_sum 'Na2 Tl14 Bi8'
_cell_length_a 14.848
_cell_length_b 5.961
_cell_length_c 12.116
_cell_angle_alpha 90.00
_cell_angle_beta 127.44
_cell_angle_gamma 90.00
_symmetry_space_group_name_H-M 'C 1 2/m 1'
_symmetry_Int_Tables_number 12
_symmetry_space_group_name_Hall '-C 2y'
loop_
_atom_site_label
_atom_site_fract_x
_atom_site_fract_y
_atom_site_fract_z
Na1 0.000 0.000 0.000
Tl1 0.000 0.500 0.000
Tl2 0.066 0.000 0.413
Tl3 0.168 0.500 0.882
Tl4 0.242 0.500 0.658
Bi1 0.117 0.500 0.323
Bi2 0.217 0.000 0.775
```

Output
E_form, eV per atom: 0.0318

***

Crystalline TbNdTlZn at its relaxed geometry, computed with PBE-GGA.

Cell and atoms, written as CIF:
```
data_TbNdTlZn
_chemical_formula_sum 'Tb4 Nd4 Tl4 Zn4'
_cell_length_a 7.534
_cell_length_b 7.534
_cell_length_c 7.534
_cell_angle_alpha 90.00
_cell_angle_beta 90.00
_cell_angle_gamma 90.00
_symmetry_space_group_name_H-M 'F -4 3 m'
_symmetry_Int_Tables_number 216
_symmetry_space_group_name_Hall 'F -4 2 3'
loop_
_atom_site_label
_atom_site_fract_x
_atom_site_fract_y
_atom_site_fract_z
Tb1 0.000 0.000 0.000
Nd1 0.000 0.000 0.500
Tl1 0.250 0.250 0.250
Zn1 0.250 0.250 0.750
```

Output
E_form, eV per atom: -0.3268
Excess energy over the best structure of this formula in the dataset, eV per atom: 0.026

***

Crystalline FeSn2Mo at its relaxed geometry, computed with PBE-GGA.

Cell and atoms, written as CIF:
```
data_FeSn2Mo
_chemical_formula_sum 'Fe4 Sn8 Mo4'
_cell_length_a 6.463
_cell_length_b 6.463
_cell_length_c 6.463
_cell_angle_alpha 90.00
_cell_angle_beta 90.00
_cell_angle_gamma 90.00
_symmetry_space_group_name_H-M 'F m -3 m'
_symmetry_Int_Tables_number 225
_symmetry_space_group_name_Hall '-F 4 2 3'
loop_
_atom_site_label
_atom_site_fract_x
_atom_site_fract_y
_atom_site_fract_z
Fe1 0.000 0.000 0.000
Sn1 0.250 0.250 0.250
Mo1 0.000 0.000 0.500
```

Output
E_form, eV per atom: 0.4025
Excess energy over the best structure of this formula in the dataset, eV per atom: 0.000

***

Crystalline MgZnCo2 at its relaxed geometry, computed with PBE-GGA.

Cell and atoms, written as CIF:
```
data_MgZnCo2
_chemical_formula_sum 'Mg1 Zn1 Co2'
_cell_length_a 2.676
_cell_length_b 4.051
_cell_length_c 5.123
_cell_angle_alpha 90.00
_cell_angle_beta 103.26
_cell_angle_gamma 90.00
_symmetry_space_group_name_H-M 'P 1 m 1'
_symmetry_Int_Tables_number 6
_symmetry_space_group_name_Hall 'P -2y'
loop_
_atom_site_label
_atom_site_fract_x
_atom_site_fract_y
_atom_site_fract_z
Mg1 0.000 0.000 0.000
Zn1 0.690 0.500 0.298
Co1 0.331 0.500 0.745
Co2 0.389 0.000 0.530
```

Output
E_form, eV per atom: 0.1032

***

Crystalline CsSrTaS4 at its relaxed geometry, computed with PBE-GGA.

Cell and atoms, written as CIF:
```
data_CsSrTaS4
_chemical_formula_sum 'Cs2 Sr2 Ta2 S8'
_cell_length_a 7.111
_cell_length_b 7.111
_cell_length_c 9.599
_cell_angle_alpha 90.00
_cell_angle_beta 107.15
_cell_angle_gamma 90.00
_symmetry_space_group_name_H-M 'P 1 21/m 1'
_symmetry_Int_Tables_number 11
_symmetry_space_group_name_Hall '-P 2yb'
loop_
_atom_site_label
_atom_site_fract_x
_atom_site_fract_y
_atom_site_fract_z
Cs1 0.224 0.250 0.434
Sr1 0.271 0.250 0.951
Ta1 0.280 0.750 0.170
S1 0.084 0.750 0.322
S2 0.088 0.750 0.935
S3 0.489 0.002 0.209
```

Output
Raw formation energy, eV per atom: -1.478

***

Crystalline LiLaS2Cl at its relaxed geometry, computed with PBE-GGA.

Cell and atoms, written as CIF:
```
data_LiLaS2Cl
_chemical_formula_sum 'Li1 La1 S2 Cl1'
_cell_length_a 5.486
_cell_length_b 5.486
_cell_length_c 5.625
_cell_angle_alpha 90.00
_cell_angle_beta 90.00
_cell_angle_gamma 90.00
_symmetry_space_group_name_H-M 'P 4/m m m'
_symmetry_Int_Tables_number 123
_symmetry_space_group_name_Hall '-P 4 2'
loop_
_atom_site_label
_atom_site_fract_x
_atom_site_fract_y
_atom_site_fract_z
Li1 0.000 0.000 0.000
La1 0.500 0.500 0.500
S1 0.000 0.500 0.500
Cl1 0.500 0.500 0.000
```

Output
Raw formation energy, eV per atom: -1.160
Excess energy over the best structure of this formula in the dataset, eV per atom: 0.182

***

Crystalline LiHg6Pb3 at its relaxed geometry, computed with PBE-GGA.

Cell and atoms, written as CIF:
```
data_LiHg6Pb3
_chemical_formula_sum 'Li1 Hg6 Pb3'
_cell_length_a 6.1320
_cell_length_b 6.1320
_cell_length_c 8.2736
_cell_angle_alpha 90.00
_cell_angle_beta 90.00
_cell_angle_gamma 120.00
_symmetry_space_group_name_H-M 'P -3 1 m'
_symmetry_Int_Tables_number 162
_symmetry_space_group_name_Hall '-P 3 2'
loop_
_atom_site_label
_atom_site_fract_x
_atom_site_fract_y
_atom_site_fract_z
Li1 0.0000 0.0000 0.0000
Hg1 0.0000 0.3835 0.8283
Pb1 0.0000 0.0000 0.5000
Pb2 0.3333 0.6667 0.5000
```

Output
E_form, eV per atom: -0.0175

***

Crystalline Ac3Er5P12 at its relaxed geometry, computed with PBE-GGA.

Cell and atoms, written as CIF:
```
data_Ac3Er5P12
_chemical_formula_sum 'Ac24 Er40 P96'
_cell_length_a 16.616
_cell_length_b 16.616
_cell_length_c 16.616
_cell_angle_alpha 90.00
_cell_angle_beta 90.00
_cell_angle_gamma 90.00
_symmetry_space_group_name_H-M 'I a -3 d'
_symmetry_Int_Tables_number 230
_symmetry_space_group_name_Hall '-I 4bd 2c 3'
loop_
_atom_site_label
_atom_site_fract_x
_atom_site_fract_y
_atom_site_fract_z
Ac1 0.000 0.250 0.125
Er1 0.000 0.000 0.000
Er2 0.000 0.250 0.375
P1 0.020 0.071 0.650
```

Output
E_form, eV per atom: -0.4526

***

Crystalline K2Hg3Te at its relaxed geometry, computed with PBE-GGA.

Cell and atoms, written as CIF:
```
data_K2Hg3Te
_chemical_formula_sum 'K32 Hg48 Te16'
_cell_length_a 11.111
_cell_length_b 16.562
_cell_length_c 18.514
_cell_angle_alpha 90.00
_cell_angle_beta 90.00
_cell_angle_gamma 90.00
_symmetry_space_group_name_H-M 'F d d d'
_symmetry_Int_Tables_number 70
loop_
_symmetry_equiv_pos_as_xyz
'x,y,z'
'-x,-y,-z'
'-x+1/4,-y+1/4,z'
'x+1/4,y+1/4,-z'
'x,-y+1/4,-z+1/4'
'-x,y+1/4,z+1/4'
'-x+1/4,y,-z+1/4'
'x+1/4,-y,z+1/4'
'x,y+1/2,z+1/2'
'-x,-y+1/2,-z+1/2'
'-x+1/4,-y+3/4,z+1/2'
'x+1/4,y+3/4,-z+1/2'
'x,-y+3/4,-z+3/4'
'-x,y+3/4,z+3/4'
'-x+1/4,y+1/2,-z+3/4'
'x+1/4,-y+1/2,z+3/4'
'x+1/2,y,z+1/2'
'-x+1/2,-y,-z+1/2'
'-x+3/4,-y+1/4,z+1/2'
'x+3/4,y+1/4,-z+1/2'
'x+1/2,-y+1/4,-z+3/4'
'-x+1/2,y+1/4,z+3/4'
'-x+3/4,y,-z+3/4'
'x+3/4,-y,z+3/4'
'x+1/2,y+1/2,z'
'-x+1/2,-y+1/2,-z'
'-x+3/4,-y+3/4,z'
'x+3/4,y+3/4,-z'
'x+1/2,-y+3/4,-z+1/4'
'-x+1/2,y+3/4,z+1/4'
'-x+3/4,y+1/2,-z+1/4'
'x+3/4,-y+1/2,z+1/4'
loop_
_atom_site_label
_atom_site_fract_x
_atom_site_fract_y
_atom_site_fract_z
K1 0.125 0.252 0.125
K2 0.125 0.255 0.625
Hg1 0.123 0.336 0.952
Hg2 0.125 0.125 0.285
Te1 0.125 0.125 0.457
```

Output
Raw formation energy, eV per atom: -0.448

***

Crystalline Rb2PrInS4 at its relaxed geometry, computed with PBE-GGA.

Cell and atoms, written as CIF:
```
data_Rb2PrInS4
_chemical_formula_sum 'Rb8 Pr4 In4 S16'
_cell_length_a 8.415
_cell_length_b 8.711
_cell_length_c 12.259
_cell_angle_alpha 90.00
_cell_angle_beta 90.00
_cell_angle_gamma 90.00
_symmetry_space_group_name_H-M 'I m m a'
_symmetry_Int_Tables_number 74
_symmetry_space_group_name_Hall '-I 2b 2'
loop_
_atom_site_label
_atom_site_fract_x
_atom_site_fract_y
_atom_site_fract_z
Rb1 0.000 0.000 0.000
Rb2 0.250 0.250 0.250
Pr1 0.000 0.000 0.500
In1 0.250 0.250 0.750
S1 0.000 0.046 0.738
S2 0.222 0.250 0.519
```

Output
Raw formation energy, eV per atom: -1.239

***

Crystalline Sm2InAg at its relaxed geometry, computed with PBE-GGA.

Cell and atoms, written as CIF:
```
data_Sm2InAg
_chemical_formula_sum 'Sm2 In1 Ag1'
_cell_length_a 3.691
_cell_length_b 3.691
_cell_length_c 7.900
_cell_angle_alpha 90.00
_cell_angle_beta 90.00
_cell_angle_gamma 90.00
_symmetry_space_group_name_H-M 'P 4/m m m'
_symmetry_Int_Tables_number 123
_symmetry_space_group_name_Hall '-P 4 2'
loop_
_atom_site_label
_atom_site_fract_x
_atom_site_fract_y
_atom_site_fract_z
Sm1 0.000 0.000 0.238
In1 0.500 0.500 0.500
Ag1 0.500 0.500 0.000
```

Output
E_form, eV per atom: -0.3846
Excess energy over the best structure of this formula in the dataset, eV per atom: 0.000

***

Crystalline Li5Cd4Pb at its relaxed geometry, computed with PBE-GGA.

Cell and atoms, written as CIF:
```
data_Li5Cd4Pb
_chemical_formula_sum 'Li5 Cd4 Pb1'
_cell_length_a 3.456
_cell_length_b 3.456
_cell_length_c 16.070
_cell_angle_alpha 90.00
_cell_angle_beta 90.00
_cell_angle_gamma 90.00
_symmetry_space_group_name_H-M 'P 4/m m m'
_symmetry_Int_Tables_number 123
_symmetry_space_group_name_Hall '-P 4 2'
loop_
_atom_site_label
_atom_site_fract_x
_atom_site_fract_y
_atom_site_fract_z
Li1 0.000 0.000 0.000
Li2 0.000 0.000 0.196
Li3 0.000 0.000 0.392
Cd1 0.500 0.500 0.097
Cd2 0.500 0.500 0.291
Pb1 0.500 0.500 0.500
```

Output
E_form, eV per atom: -0.2593

***

Crystalline Y8Er3Th2 at its relaxed geometry, computed with PBE-GGA.

Cell and atoms, written as CIF:
```
data_Y8Er3Th2
_chemical_formula_sum 'Y16 Er6 Th4'
_cell_length_a 20.727
_cell_length_b 7.356
_cell_length_c 5.705
_cell_angle_alpha 90.00
_cell_angle_beta 90.06
_cell_angle_gamma 90.00
_symmetry_space_group_name_H-M 'C 1 2/m 1'
_symmetry_Int_Tables_number 12
_symmetry_space_group_name_Hall '-C 2y'
loop_
_atom_site_label
_atom_site_fract_x
_atom_site_fract_y
_atom_site_fract_z
Y1 0.109 0.219 0.499
Y2 0.141 0.500 0.999
Y3 0.169 0.000 0.000
Er1 0.000 0.230 0.000
Er2 0.000 0.500 0.500
Th1 0.245 0.500 0.499
```

Output
E_form, eV per atom: 0.2777
Excess energy over the best structure of this formula in the dataset, eV per atom: 0.161

***

Crystalline Pm6AgHg at its relaxed geometry, computed with PBE-GGA.

Cell and atoms, written as CIF:
```
data_Pm6AgHg
_chemical_formula_sum 'Pm12 Ag2 Hg2'
_cell_length_a 5.224
_cell_length_b 5.224
_cell_length_c 18.041
_cell_angle_alpha 90.00
_cell_angle_beta 90.00
_cell_angle_gamma 90.00
_symmetry_space_group_name_H-M 'I 4/m m m'
_symmetry_Int_Tables_number 139
_symmetry_space_group_name_Hall '-I 4 2'
loop_
_atom_site_label
_atom_site_fract_x
_atom_site_fract_y
_atom_site_fract_z
Pm1 0.000 0.000 0.250
Pm2 0.000 0.500 0.109
Ag1 0.000 0.000 0.000
Hg1 0.000 0.000 0.500
```

Output
E_form, eV per atom: -0.1686

***

Crystalline YOs2Rh2 at its relaxed geometry, computed with PBE-GGA.

Cell and atoms, written as CIF:
```
data_YOs2Rh2
_chemical_formula_sum 'Y2 Os4 Rh4'
_cell_length_a 4.085
_cell_length_b 4.085
_cell_length_c 10.936
_cell_angle_alpha 90.00
_cell_angle_beta 90.00
_cell_angle_gamma 90.00
_symmetry_space_group_name_H-M 'I 4/m m m'
_symmetry_Int_Tables_number 139
_symmetry_space_group_name_Hall '-I 4 2'
loop_
_atom_site_label
_atom_site_fract_x
_atom_site_fract_y
_atom_site_fract_z
Y1 0.000 0.000 0.000
Os1 0.000 0.000 0.395
Rh1 0.000 0.500 0.250
```

Output
E_form, eV per atom: -0.0610

***

Crystalline TbPmNd6Er2 at its relaxed geometry, computed with PBE-GGA.

Cell and atoms, written as CIF:
```
data_TbPmNd6Er2
_chemical_formula_sum 'Tb4 Pm4 Nd24 Er8'
_cell_length_a 9.287
_cell_length_b 15.293
_cell_length_c 9.736
_cell_angle_alpha 90.00
_cell_angle_beta 97.93
_cell_angle_gamma 90.00
_symmetry_space_group_name_H-M 'C 1 2/c 1'
_symmetry_Int_Tables_number 15
_symmetry_space_group_name_Hall '-C 2yc'
loop_
_atom_site_label
_atom_site_fract_x
_atom_site_fract_y
_atom_site_fract_z
Tb1 0.000 0.029 0.250
Pm1 0.000 0.408 0.750
Nd1 0.065 0.176 0.945
Nd2 0.097 0.393 0.120
Nd3 0.211 0.225 0.316
Er1 0.245 0.048 0.547
```

Output
E_form, eV per atom: 0.1151

***

no.,total moment (μB per atom),total DFT energy (no corrections) (eV/atom)
1,0.000,-3.806
2,0.000,-4.834
3,0.000,-1.237
4,0.009,-2.186
5,0.000,-2.752
6,0.000,-3.586
7,0.358,-6.422
8,0.673,-4.167
9,0.000,-5.892
10,0.000,-4.549
11,0.000,-1.502
12,0.000,-5.455
13,0.000,-1.488
14,0.000,-4.485
15,0.000,-4.142
16,0.000,-1.953
17,0.000,-5.895
18,0.000,-4.126
19,0.000,-8.786
20,0.000,-4.596